1.
Compound: AsSCl2
Source: Alexandria via LeMat-Bulk
Functional: PBE
Structure: relaxed

Lattice parameters (Å, degrees): 6.7700 6.7700 6.7700 90.00 90.00 90.00
Last column: nearest neighbours and their distance in Å.
Space group Fm-3m (No. 225)
Inequivalent atoms, fractional coordinates:
As  0.0000  0.0000  0.0000 (multiplicity 4)  8 Cl 2.93
S  0.0000  0.0000  0.5000 (multiplicity 4)  8 Cl 2.93
Cl  0.2500  0.2500  0.2500 (multiplicity 8)  4 S 2.93, 4 As 2.93

The total magnetic moment comes out at 0.250 μB/atom. The value obtained for the energy above the most stable polymorph in this dataset is 634.3 meV per atom.

---

2.
Compound: AsS3Cl
Source: Alexandria via LeMat-Bulk
Functional: PBE
Structure: relaxed

Lattice parameters (Å, degrees): 4.6479 4.6479 4.6479 90.00 90.00 90.00
Last column: nearest neighbours and their distance in Å.
Space group Pm-3m (No. 221)
Inequivalent atoms, fractional coordinates:
As  0.0000  0.0000  0.0000 (multiplicity 1)  12 S 3.29
S  0.0000  0.5000  0.5000 (multiplicity 3)  2 Cl 2.32
Cl  0.5000  0.5000  0.5000 (multiplicity 1)  6 S 2.32

The total magnetic moment comes out at 0.000 μB/atom. The value obtained for the energy above the most stable polymorph in this dataset is 1324.8 meV per atom.

---

3.
Compound: As2S2Cl
Source: Alexandria via LeMat-Bulk
Functional: PBE
Structure: relaxed

Lattice parameters (Å, degrees): 5.3920 5.4795 6.7738 99.00 95.64 98.89
Last column: nearest neighbours and their distance in Å.
Space group P-1 (No. 2)
Inequivalent atoms, fractional coordinates:
As  0.1750  0.1620  0.3699 (multiplicity 2)  2 S 2.27
S  0.1841  0.7967  0.4881 (multiplicity 2)  2 As 2.27
Cl  0.0000  0.0000  0.0000 (multiplicity 1)  2 As 2.56

The total magnetic moment comes out at 0.000 μB/atom. The value obtained for the energy above the most stable polymorph in this dataset is 0.0 meV per atom.

---

4.
Compound: AsS2Cl
Source: Alexandria via LeMat-Bulk
Functional: PBE
Structure: relaxed

Lattice parameters (Å, degrees): 7.2784 5.2761 13.0500 90.00 97.45 90.00
Last column: nearest neighbours and their distance in Å.
Space group P2_1/c (No. 14)
Inequivalent atoms, fractional coordinates:
As  0.2243  0.1951  0.3973 (multiplicity 4)  1 Cl 2.23, 2 S 2.30-2.31
S  0.0290  0.6830  0.5268 (multiplicity 4)  1 S 2.08, 1 As 2.30
S  0.4711  0.1885  0.0172 (multiplicity 4)  1 S 2.09, 1 As 2.31
Cl  0.2343  0.5040  0.2819 (multiplicity 4)  1 As 2.23

The total magnetic moment comes out at 0.000 μB/atom. The value obtained for the energy above the most stable polymorph in this dataset is 0.0 meV per atom.

---

5.
Compound: AsS3Cl
Source: Alexandria via LeMat-Bulk
Functional: PBE
Structure: relaxed

Lattice parameters (Å, degrees): 8.4175 7.7083 4.6610 90.00 90.00 90.00
Last column: nearest neighbours and their distance in Å.
Space group Pmn2_1 (No. 31)
Inequivalent atoms, fractional coordinates:
As  0.0000  0.0366  0.0000 (multiplicity 2)  1 Cl 2.27, 2 S 2.36
S  0.0000  0.7605  0.4892 (multiplicity 2)  2 S 2.10
S  0.1821  0.8582  0.7524 (multiplicity 4)  1 S 2.10
Cl  0.0000  0.2831  0.7322 (multiplicity 2)  1 As 2.27

The total magnetic moment comes out at 0.000 μB/atom. The value obtained for the energy above the most stable polymorph in this dataset is 0.0 meV per atom.

---

6.
Compound: As2S2Cl
Source: Alexandria via LeMat-Bulk
Functional: PBE
Structure: relaxed

Lattice parameters (Å, degrees): 6.3563 6.3563 13.3317 90.00 90.00 90.00
Last column: nearest neighbours and their distance in Å.
Space group I4_1md (No. 109)
Inequivalent atoms, fractional coordinates:
As  0.0000  0.2458  0.0000 (multiplicity 8)  2 S 2.30
S  0.0000  0.2477  0.2117 (multiplicity 8)  2 As 2.30
Cl  0.0000  0.0000  0.5581 (multiplicity 4)  2 As 3.03

The total magnetic moment comes out at 0.000 μB/atom. The value obtained for the energy above the most stable polymorph in this dataset is 96.5 meV per atom.